(1)
Tm8VSb2 (PBE-GGA, relaxed); symmetry = C2/m (12); formation energy without anion corrections = -0.253 eV per atom
1.0
8.8215 -2.3157 0.0000
8.8215 2.3157 0.0000
-2.5805 0.0000 7.3668
Tm V Sb
8 1 2
Direct
0.0351 0.0351 0.3042
0.1697 0.1697 0.7578
0.3263 0.3263 0.5613
0.4140 0.4140 0.0423
0.5860 0.5860 0.9577
0.6737 0.6737 0.4387
0.8303 0.8303 0.2422
0.9649 0.9649 0.6958
0.5000 0.5000 0.5000
0.2008 0.2008 0.1747
0.7992 0.7992 0.8253


(2)
YTmIn2 (PBE-GGA, relaxed); energy of formation = -0.461 eV/atom; symmetry = Cmmm (65)
1.0
3.4523 -4.3198 0.0000
3.4523 4.3198 0.0000
0.0000 0.0000 3.4924
Y Tm In
1 1 2
Direct
0.0000 0.0000 0.0000
0.5000 0.5000 0.0000
0.0000 0.5000 0.5000
0.5000 0.0000 0.5000


(3)
YPu3Sc2Te6 (PBE-GGA, relaxed); symmetry = C2/m (12); formation energy without anion corrections = -1.145 eV per atom
1.0
9.4782 -2.1522 0.0000
9.4782 2.1522 0.0000
-2.1599 0.0000 8.4403
Y Pu Sc Te
1 3 2 6
Direct
0.0000 0.0000 0.0000
0.0000 0.0000 0.5000
0.3360 0.3360 0.1689
0.6640 0.6640 0.8311
0.3324 0.3324 0.6668
0.6676 0.6676 0.3332
0.1672 0.1672 0.0957
0.1707 0.1707 0.5721
0.4939 0.4939 0.7494
0.5061 0.5061 0.2506
0.8293 0.8293 0.4279
0.8328 0.8328 0.9043


(4)
YGa2Pb (PBE-GGA, relaxed); energy of formation = -0.154 eV/atom; symmetry = I-42d (122)
1.0
-4.0320 4.0320 3.0976
4.0320 -4.0320 3.0976
4.0320 4.0320 -3.0976
Y Ga Pb
2 4 2
Direct
0.0000 0.0000 0.0000
0.7500 0.2500 0.5000
0.1394 0.6250 0.0144
0.3750 0.3894 0.5144
0.6106 0.1250 0.9856
0.8750 0.8606 0.4856
0.2500 0.7500 0.5000
0.5000 0.5000 0.0000


(5)
InH2 (PBE-GGA, relaxed); symmetry = P1 (1); total DFT energy (no corrections) = -3.11 eV per atom
1.0
3.1714 0.0000 0.0000
-1.5856 2.7482 0.0000
-0.1462 -0.7201 11.6596
In H
2 4
Direct
0.0000 0.0000 0.0000
0.2850 0.6000 0.7555
0.2103 0.9521 0.4427
0.2164 0.0033 0.5064
0.5111 0.5741 0.3129
0.5145 0.5879 0.2487


(6)
ZrV2Cl (PBE-GGA, relaxed); symmetry = Fm-3m (225); E above lowest polymorph = 0.479 eV per atom; formation energy without anion corrections = 0.787 eV per atom
1.0
0.0000 3.1893 3.1893
3.1893 0.0000 3.1893
3.1893 3.1893 0.0000
Zr V Cl
1 2 1
Direct
0.0000 0.0000 0.0000
0.2500 0.2500 0.2500
0.7500 0.7500 0.7500
0.5000 0.5000 0.5000


(7)
Zr2ScW (PBE-GGA, relaxed); energy of formation = 0.247 eV/atom; symmetry = P4mm (99); E above lowest polymorph = 0.118 eV per atom
1.0
2.9056 0.0000 0.0000
0.0000 2.9056 0.0000
0.0000 0.0000 9.8928
Zr Sc W
2 1 1
Direct
0.0000 0.0000 0.0000
0.5000 0.5000 0.2570
0.0000 0.0000 0.5390
0.5000 0.5000 0.7607


(8)
PmErPtRh (PBE-GGA, relaxed); energy of formation = -0.977 eV/atom; symmetry = F-43m (216); E above lowest polymorph = 0.037 eV per atom
1.0
0.0000 3.4932 3.4932
3.4932 0.0000 3.4932
3.4932 3.4932 0.0000
Pm Er Pt Rh
1 1 1 1
Direct
0.0000 0.0000 0.0000
0.5000 0.5000 0.5000
0.7500 0.7500 0.7500
0.2500 0.2500 0.2500


(9)
CaLa3Tc (PBE-GGA, relaxed); energy of formation = -0.016 eV/atom; symmetry = C2/m (12); E above lowest polymorph = 0.000 eV per atom
1.0
8.0449 -4.0416 0.0000
8.0449 4.0416 0.0000
-0.0075 0.0000 5.5724
Ca La Tc
2 6 2
Direct
0.1242 0.1242 0.9998
0.8758 0.8758 0.0002
0.0000 0.5000 0.5000
0.2599 0.7401 0.5000
0.3742 0.3742 0.9981
0.5000 0.0000 0.5000
0.6258 0.6258 0.0019
0.7401 0.2599 0.5000
0.3586 0.3586 0.4826
0.6414 0.6414 0.5174


(10)
Bi3PdCl (PBE-GGA, relaxed); symmetry = Pm-3m (221); E above lowest polymorph = 1.140 eV per atom; formation energy without anion corrections = 0.800 eV per atom
1.0
5.4380 0.0000 0.0000
0.0000 5.4380 0.0000
0.0000 0.0000 5.4380
Bi Pd Cl
3 1 1
Direct
0.0000 0.0000 0.5000
0.0000 0.5000 0.0000
0.5000 0.0000 0.0000
0.5000 0.5000 0.5000
0.0000 0.0000 0.0000


(11)
Ce2Al6CuAu (PBE-GGA, relaxed); energy of formation = -0.497 eV/atom; symmetry = P4mm (99); E above lowest polymorph = 0.000 eV per atom
1.0
4.2855 0.0000 0.0000
0.0000 4.2855 0.0000
0.0000 0.0000 10.7284
Ce Al Cu Au
2 6 1 1
Direct
0.0000 0.0000 0.0000
0.5000 0.5000 0.4898
0.0000 0.0000 0.3969
0.0000 0.5000 0.2452
0.0000 0.5000 0.7591
0.5000 0.0000 0.2452
0.5000 0.0000 0.7591
0.5000 0.5000 0.9123
0.5000 0.5000 0.1334
0.0000 0.0000 0.6288


(12)
RbIr3Pd (PBE-GGA, relaxed); energy of formation = 1.818 eV/atom; symmetry = Pm-3m (221); E above lowest polymorph = 0.000 eV per atom
1.0
4.9281 0.0000 0.0000
0.0000 4.9281 0.0000
0.0000 0.0000 4.9281
Rb Ir Pd
1 3 1
Direct
0.0000 0.0000 0.0000
0.0000 0.5000 0.5000
0.5000 0.0000 0.5000
0.5000 0.5000 0.0000
0.5000 0.5000 0.5000


Please write out number 8 again, unchanged.
PmErPtRh (PBE-GGA, relaxed); energy of formation = -0.977 eV/atom; symmetry = F-43m (216); E above lowest polymorph = 0.037 eV per atom
1.0
0.0000 3.4932 3.4932
3.4932 0.0000 3.4932
3.4932 3.4932 0.0000
Pm Er Pt Rh
1 1 1 1
Direct
0.0000 0.0000 0.0000
0.5000 0.5000 0.5000
0.7500 0.7500 0.7500
0.2500 0.2500 0.2500